No. 1
{
  "formula": "GaOsSe2",
  "functional": "meta-GGA SCAN",
  "state": "single point on PBEsol structure",
  "cell": [[1.8410, 1.0629, 7.8573], [-1.8410, 1.0629, 7.8573], [0.0000, -2.1258, 7.8573]],
  "species": ["Ga", "Os", "Se", "Se"],
  "fractional_positions": [[0.0000, 0.0000, 0.0000], [0.5000, 0.5000, 0.5000], [0.1134, 0.1134, 0.1134], [0.8866, 0.8866, 0.8866]],
  "energy_ev_per_atom": -31.892,
  "magmom_total_mub_per_atom": 0.00,
  "n_ef_per_ev_cell": 3.5
}



No. 2
{
  "formula": "GaSn3Os",
  "functional": "meta-GGA SCAN",
  "state": "single point on PBEsol structure",
  "cell": [[5.0124, 0.0000, 0.0000], [0.0000, 5.0124, 0.0000], [0.0000, 0.0000, 5.0124]],
  "species": ["Ga", "Sn", "Sn", "Sn", "Os"],
  "fractional_positions": [[0.0000, 0.0000, 0.0000], [0.0000, 0.0000, 0.5000], [0.0000, 0.5000, 0.0000], [0.5000, 0.0000, 0.0000], [0.5000, 0.5000, 0.5000]],
  "magmom_total_mub_per_atom": 0.38,
  "formation_energy_ev_per_atom": 1.5409,
  "n_ef_per_ev_cell": 3.5
}



No. 3
{
  "formula": "GaSnOs2",
  "functional": "meta-GGA SCAN",
  "state": "single point on PBEsol structure",
  "cell": [[0.0000, 3.1188, 3.1188], [3.1188, 0.0000, 3.1188], [3.1188, 3.1188, 0.0000]],
  "species": ["Ga", "Sn", "Os", "Os"],
  "fractional_positions": [[0.0000, 0.0000, 0.0000], [0.5000, 0.5000, 0.5000], [0.2500, 0.2500, 0.2500], [0.7500, 0.7500, 0.7500]],
  "magmom_total_mub_per_atom": 0.00,
  "formation_energy_ev_per_atom": 0.2783,
  "n_ef_per_ev_cell": 2.5
}



No. 4
{
  "formula": "Ga2Sn2Os",
  "functional": "meta-GGA SCAN",
  "state": "single point on PBEsol structure",
  "cell": [[-1.9036, 1.9036, 7.1985], [1.9036, -1.9036, 7.1985], [1.9036, 1.9036, -7.1985]],
  "species": ["Ga", "Ga", "Sn", "Sn", "Os"],
  "fractional_positions": [[0.0830, 0.0830, 0.0000], [0.9170, 0.9170, 0.0000], [0.2500, 0.7500, 0.5000], [0.7500, 0.2500, 0.5000], [0.5000, 0.5000, 0.0000]],
  "magmom_total_mub_per_atom": 0.30,
  "formation_energy_ev_per_atom": 1.0654,
  "n_ef_per_ev_cell": 2.6
}



No. 5
{
  "formula": "TbGa3Os",
  "functional": "meta-GGA SCAN",
  "state": "single point on PBEsol structure",
  "cell": [[6.3536, 0.0000, 0.0000], [0.0000, 6.3536, 0.0000], [0.0000, 0.0000, 6.3536]],
  "species": ["Tb", "Tb", "Tb", "Ga", "Ga", "Ga", "Ga", "Ga", "Ga", "Ga", "Ga", "Ga", "Os", "Os", "Os"],
  "fractional_positions": [[0.0000, 0.0000, 0.5000], [0.0000, 0.5000, 0.0000], [0.5000, 0.0000, 0.0000], [0.0000, 0.0000, 0.0000], [0.2898, 0.2898, 0.2898], [0.2898, 0.2898, 0.7102], [0.2898, 0.7102, 0.2898], [0.2898, 0.7102, 0.7102], [0.7102, 0.2898, 0.2898], [0.7102, 0.2898, 0.7102], [0.7102, 0.7102, 0.2898], [0.7102, 0.7102, 0.7102], [0.0000, 0.5000, 0.5000], [0.5000, 0.0000, 0.5000], [0.5000, 0.5000, 0.0000]],
  "magmom_total_mub_per_atom": 0.00,
  "formation_energy_ev_per_atom": -0.6147,
  "n_ef_per_ev_cell": 5.9
}



No. 6
{
  "formula": "GaTe3Os",
  "functional": "meta-GGA SCAN",
  "state": "single point on PBEsol structure",
  "cell": [[5.2264, 0.0000, 0.0000], [0.0000, 5.2264, 0.0000], [0.0000, 0.0000, 5.2264]],
  "species": ["Ga", "Te", "Te", "Te", "Os"],
  "fractional_positions": [[0.0000, 0.0000, 0.0000], [0.0000, 0.5000, 0.5000], [0.5000, 0.0000, 0.5000], [0.5000, 0.5000, 0.0000], [0.5000, 0.5000, 0.5000]],
  "energy_ev_per_atom": -39.292,
  "magmom_total_mub_per_atom": 0.00,
  "n_ef_per_ev_cell": 7.1
}



What did the fifth record say?
{
  "formula": "TbGa3Os",
  "functional": "meta-GGA SCAN",
  "state": "single point on PBEsol structure",
  "cell": [[6.3536, 0.0000, 0.0000], [0.0000, 6.3536, 0.0000], [0.0000, 0.0000, 6.3536]],
  "species": ["Tb", "Tb", "Tb", "Ga", "Ga", "Ga", "Ga", "Ga", "Ga", "Ga", "Ga", "Ga", "Os", "Os", "Os"],
  "fractional_positions": [[0.0000, 0.0000, 0.5000], [0.0000, 0.5000, 0.0000], [0.5000, 0.0000, 0.0000], [0.0000, 0.0000, 0.0000], [0.2898, 0.2898, 0.2898], [0.2898, 0.2898, 0.7102], [0.2898, 0.7102, 0.2898], [0.2898, 0.7102, 0.7102], [0.7102, 0.2898, 0.2898], [0.7102, 0.2898, 0.7102], [0.7102, 0.7102, 0.2898], [0.7102, 0.7102, 0.7102], [0.0000, 0.5000, 0.5000], [0.5000, 0.0000, 0.5000], [0.5000, 0.5000, 0.0000]],
  "magmom_total_mub_per_atom": 0.00,
  "formation_energy_ev_per_atom": -0.6147,
  "n_ef_per_ev_cell": 5.9
}